No. 1
Compound: ScIr
Source: Alexandria
Functional: PBE
Structure: relaxed

Structure (POSCAR):
```
ScIr
1.0
8.742 0.000 0.000
-4.371 7.571 0.000
0.000 0.000 3.947
Sc Ir
6 6
Cartesian
4.371 4.526 0.987
-1.734 6.049 2.960
2.637 1.523 0.987
0.000 3.045 2.960
6.105 1.523 0.987
1.734 6.048 2.960
0.000 6.583 0.987
3.041 3.292 2.960
-1.330 4.280 0.987
4.371 0.988 2.960
1.330 4.280 0.987
5.701 3.291 2.960
```

N(E_F) (states/eV/f.u.): 1.45
Energy of formation (eV per atom): -0.598


No. 2
Compound: Cd2ReSi
Source: Alexandria
Functional: PBE
Structure: relaxed

Structure (POSCAR):
```
Cd2ReSi
1.0
4.602 0.000 0.000
2.301 3.985 0.000
2.301 1.328 3.757
Cd Re Si
2 1 1
Cartesian
0.000 0.000 0.000
2.301 1.328 0.939
4.602 2.657 1.879
6.903 3.985 2.818
```

Formation energy (no corrections) (eV per atom): 0.725
N(E_F) (states/eV/f.u.): 4.58


Q: What is the N(E_F) in the second record?
A: 4.58 states/eV/f.u.


Q: What is the N(E_F) in the second record?
A: 4.58 states/eV/f.u.


Q: Number 1 is which compound?
A: ScIr


Q: What is the N(E_F) in the first record?
A: 1.45 states/eV/f.u.